NiO2: optimized geometry, PBE with a Hubbard U.

a = 2.7975 Å, b = 2.7975 Å, c = 10.0245 Å
α = 90.00°, β = 90.00°, γ = 120.00°
Space group P6_3/mmc (No. 194)
Asymmetric unit:
Ni 0.0000 0.0000 0.0000
O 0.3333 0.6667 0.0950

- Density: 4.433 g cm⁻³
- DOS at the Fermi energy: 0.00 states/eV per cell
- Magnetization: 0.0 μB/cell
- Final energy: -4.5735 eV per atom